Entry from the Alexandria database: SrOs5 after structural relaxation (GGA-PBE).

Calculated values
symmetry: No. 8
final energy: -9.137 eV per atom
distance to the lowest polymorph of the same formula: 10.4 meV/atom
ΔH_f (0 K): 0.50 eV per atom
magnetization: 0.00 μB/cell

Geometry as POSCAR:
```
SrOs5
1.0
5.961 -1.396 0.000
5.961 1.396 0.000
-0.917 0.000 6.515
Sr Os
1 5
direct
0.000 0.000 0.000
0.051 0.051 0.537
0.273 0.273 0.070
0.361 0.361 0.522
0.690 0.690 0.345
0.725 0.725 0.742
```

Entry from the Alexandria database: Sr3Os after structural relaxation (GGA-PBE).

Calculated values
symmetry: No. 166
final energy: -3.371 eV per atom
ΔH_f (0 K): 0.70 eV per atom
magnetization: 0.32 μB/cell

Geometry as POSCAR:
```
Sr3Os
1.0
1.997 1.153 11.418
-1.997 1.153 11.418
0.000 -2.306 11.418
Sr Os
3 1
direct
0.000 0.000 0.000
0.224 0.224 0.224
0.776 0.776 0.776
0.500 0.500 0.500
```

Entry from the Alexandria database: SrOs5 after structural relaxation (GGA-PBE).

Calculated values
symmetry: No. 123
final energy: -9.148 eV per atom
distance to the lowest polymorph of the same formula: 0.0 meV/atom
ΔH_f (0 K): 0.49 eV per atom
magnetization: 0.00 μB/cell

Geometry as POSCAR:
```
SrOs5
1.0
2.810 0.000 0.000
0.000 2.810 0.000
0.000 0.000 12.575
Sr Os
1 5
direct
0.000 0.000 0.000
0.000 0.000 0.347
0.000 0.000 0.653
0.500 0.500 0.208
0.500 0.500 0.500
0.500 0.500 0.792
```